## Ce6CdGa2 (PBE-GGA)

Data for a relaxed Ce6CdGa2 crystal.

Summary:
* distance to the lowest polymorph of the same formula: 0.000 eV per atom
* symmetry: No. 191
* ΔE_f: -0.2210 eV per atom
* electronic total energy: -44.6 eV/cell
* M_tot: 2.15 Bohr magnetons per cell

Cell and atoms, written as POSCAR:
```
Ce6CdGa2
1.0
8.9849 0.0000 0.0000
-4.4924 7.7811 0.0000
0.0000 0.0000 2.9637
Ce Cd Ga
6 1 2
direct
0.0000 0.3460 0.0000 Ce
0.0000 0.6540 0.0000 Ce
0.3460 0.0000 0.0000 Ce
0.3460 0.3460 0.0000 Ce
0.6540 0.0000 0.0000 Ce
0.6540 0.6540 0.0000 Ce
0.0000 0.0000 0.5000 Cd
0.3333 0.6667 0.5000 Ga
0.6667 0.3333 0.5000 Ga
```